No. 1
DFT (GGA-PBE) results for a relaxed Cu2SbTe crystal.

Results
formation energy without anion corrections	0.176	eV per atom
total energy	-3.6877	eV per atom

a b c (Å): 6.602 6.602 6.602
angles (deg): 147.97 146.55 46.99
Fractional positions:
1 Cu 0.000 0.000 0.000
2 Cu 0.632 0.132 0.500
3 Sb 0.201 0.701 0.500
4 Te 0.426 0.426 0.000

No. 2
DFT (GGA-PBE) results for a relaxed Cu2SbTe crystal.

Results
formation energy without anion corrections	0.035	eV per atom
total energy	-3.8293	eV per atom

a b c (Å): 4.420 4.567 4.567
angles (deg): 69.45 90.00 90.00
Fractional positions:
1 Cu 0.000 0.000 0.000
2 Cu 0.500 0.167 0.167
3 Sb 0.000 0.361 0.361
4 Te 0.500 0.805 0.805

No. 3
DFT (GGA-PBE) results for a relaxed CuSbTe2 crystal.

Results
formation energy without anion corrections	0.461	eV per atom
total energy	-3.1647	eV per atom

a b c (Å): 5.176 5.176 5.176
angles (deg): 60.00 60.00 60.00
Fractional positions:
1 Cu 0.000 0.000 0.000
2 Sb 0.250 0.250 0.250
3 Te 0.500 0.500 0.500
4 Te 0.750 0.750 0.750

No. 4
DFT (GGA-PBE) results for a relaxed Cu2SbTe crystal.

Results
formation energy without anion corrections	0.101	eV per atom
total energy	-3.7632	eV per atom

a b c (Å): 3.888 3.809 5.477
angles (deg): 90.00 92.20 90.00
Fractional positions:
1 Cu 0.000 0.000 0.000
2 Cu 0.500 0.500 0.500
3 Sb 0.000 0.000 0.500
4 Te 0.500 0.500 0.000

No. 5
DFT (GGA-PBE) results for a relaxed Cu5Sb3Te12 crystal.

Results
formation energy without anion corrections	0.111	eV per atom
total energy	-3.4168	eV per atom

a b c (Å): 14.406 14.406 14.406
angles (deg): 109.47 109.47 109.47
Fractional positions:
1 Cu 0.000 0.000 0.000
2 Cu 0.000 0.000 0.500
3 Cu 0.000 0.500 0.000
4 Cu 0.000 0.500 0.500
5 Cu 0.125 0.750 0.875
6 Cu 0.125 0.875 0.250
7 Cu 0.250 0.125 0.875
8 Cu 0.250 0.625 0.375
9 Cu 0.375 0.250 0.625
10 Cu 0.375 0.625 0.750
11 Cu 0.500 0.000 0.000
12 Cu 0.500 0.000 0.500
13 Cu 0.500 0.500 0.000
14 Cu 0.500 0.500 0.500
15 Cu 0.625 0.375 0.250
16 Cu 0.625 0.750 0.375
17 Cu 0.750 0.375 0.625
18 Cu 0.750 0.875 0.125
19 Cu 0.875 0.125 0.750
20 Cu 0.875 0.250 0.125
21 Sb 0.125 0.250 0.375
22 Sb 0.125 0.375 0.750
23 Sb 0.250 0.375 0.125
24 Sb 0.250 0.875 0.625
25 Sb 0.375 0.125 0.250
26 Sb 0.375 0.750 0.125
27 Sb 0.625 0.250 0.875
28 Sb 0.625 0.875 0.750
29 Sb 0.750 0.125 0.375
30 Sb 0.750 0.625 0.875
31 Sb 0.875 0.625 0.250
32 Sb 0.875 0.750 0.625
33 Te 0.030 0.207 0.119
34 Te 0.030 0.323 0.911
35 Te 0.089 0.619 0.411
36 Te 0.089 0.707 0.677
37 Te 0.089 0.881 0.411
38 Te 0.089 0.970 0.677
39 Te 0.119 0.030 0.207
40 Te 0.119 0.589 0.911
41 Te 0.177 0.207 0.589
42 Te 0.177 0.470 0.589
43 Te 0.207 0.119 0.030
44 Te 0.207 0.589 0.177
45 Te 0.293 0.323 0.911
46 Te 0.293 0.470 0.381
47 Te 0.323 0.911 0.030
48 Te 0.323 0.911 0.293
49 Te 0.381 0.293 0.470
50 Te 0.381 0.589 0.911
51 Te 0.411 0.089 0.619
52 Te 0.411 0.089 0.881
53 Te 0.411 0.823 0.530
54 Te 0.411 0.823 0.793
55 Te 0.470 0.381 0.293
56 Te 0.470 0.589 0.177
57 Te 0.530 0.411 0.823
58 Te 0.530 0.619 0.707
59 Te 0.589 0.177 0.207
60 Te 0.589 0.177 0.470
61 Te 0.589 0.911 0.119
62 Te 0.589 0.911 0.381
63 Te 0.619 0.411 0.089
64 Te 0.619 0.707 0.530
65 Te 0.677 0.089 0.707
66 Te 0.677 0.089 0.970
67 Te 0.707 0.530 0.619
68 Te 0.707 0.677 0.089
69 Te 0.793 0.411 0.823
70 Te 0.793 0.881 0.970
71 Te 0.823 0.530 0.411
72 Te 0.823 0.793 0.411
73 Te 0.881 0.411 0.089
74 Te 0.881 0.970 0.793
75 Te 0.911 0.030 0.323
76 Te 0.911 0.119 0.589
77 Te 0.911 0.293 0.323
78 Te 0.911 0.381 0.589
79 Te 0.970 0.677 0.089
80 Te 0.970 0.793 0.881

No. 6
DFT (GGA-PBE) results for a relaxed CuSbTe3 crystal.

Results
formation energy without anion corrections	0.002	eV per atom
total energy	-3.5264	eV per atom

a b c (Å): 7.727 4.046 9.479
angles (deg): 90.00 91.98 90.00
Fractional positions:
1 Cu 0.143 0.250 0.091
2 Cu 0.857 0.750 0.909
3 Sb 0.428 0.750 0.685
4 Sb 0.572 0.250 0.315
5 Te 0.034 0.250 0.813
6 Te 0.267 0.250 0.493
7 Te 0.363 0.750 0.093
8 Te 0.637 0.250 0.907
9 Te 0.733 0.750 0.507
10 Te 0.966 0.750 0.187

Question: Which value of formation energy without anion corrections does entry 1 give?
Answer: 0.176 eV per atom